# Ba2TlOs, single point on PBEsol structure, DFT SCAN
data_Ba2TlOs
_chemical_formula_sum 'Ba2 Tl1 Os1'
_space_group_name_H-M_alt 'P 1'
_space_group_IT_number 1
_space_group_name_Hall 'P 1'
_cell_length_a 3.426
_cell_length_b 4.474
_cell_length_c 9.262
_cell_angle_alpha 96.81
_cell_angle_beta 90.00
_cell_angle_gamma 112.52
loop_
_atom_site_label
_atom_site_fract_x
_atom_site_fract_y
_atom_site_fract_z
_atom_site_occupancy
Ba1 0.762 0.523 0.799 1
Ba2 0.238 0.477 0.201 1
Tl1 0.000 0.000 0.500 1
Os1 0.500 0.000 0.000 1
# * energy: -55.239 eV/atom
# * E_form: 596 meV per atom


# CdNi2As, single point on PBEsol structure, DFT SCAN
data_CdNi2As
_chemical_formula_sum 'Cd1 Ni2 As1'
_space_group_name_H-M_alt 'P 1'
_space_group_IT_number 1
_space_group_name_Hall 'P 1'
_cell_length_a 2.894
_cell_length_b 2.894
_cell_length_c 7.918
_cell_angle_alpha 79.47
_cell_angle_beta 79.47
_cell_angle_gamma 60.00
loop_
_atom_site_label
_atom_site_fract_x
_atom_site_fract_y
_atom_site_fract_z
_atom_site_occupancy
Cd1 0.000 0.000 0.000 1
As1 0.500 0.500 0.500 1
Ni1 0.240 0.240 0.279 1
Ni2 0.760 0.760 0.721 1
# * energy: -20.704 eV/atom
# * E_form: 34 meV per atom


# CuPtAu2, single point on PBEsol structure, DFT SCAN
data_CuPtAu2
_chemical_formula_sum 'Cu1 Pt1 Au2'
_space_group_name_H-M_alt 'P 1'
_space_group_IT_number 1
_space_group_name_Hall 'P 1'
_cell_length_a 2.908
_cell_length_b 4.678
_cell_length_c 4.678
_cell_angle_alpha 106.91
_cell_angle_beta 90.00
_cell_angle_gamma 90.00
loop_
_atom_site_label
_atom_site_fract_x
_atom_site_fract_y
_atom_site_fract_z
_atom_site_occupancy
Cu1 0.500 0.000 0.000 1
Au1 0.000 0.500 0.000 1
Au2 0.000 0.000 0.500 1
Pt1 0.500 0.500 0.500 1
# * energy: -55.956 eV/atom
# * E_form: -29 meV per atom


# GePb3N, single point on PBEsol structure, DFT SCAN
data_GePb3N
_chemical_formula_sum 'Ge1 Pb3 N1'
_space_group_name_H-M_alt 'P 1'
_space_group_IT_number 1
_space_group_name_Hall 'P 1'
_cell_length_a 4.921
_cell_length_b 4.921
_cell_length_c 4.921
_cell_angle_alpha 90.00
_cell_angle_beta 90.00
_cell_angle_gamma 90.00
loop_
_atom_site_label
_atom_site_fract_x
_atom_site_fract_y
_atom_site_fract_z
_atom_site_occupancy
Ge1 0.500 0.500 0.500 1
Pb1 0.000 0.000 0.500 1
Pb2 0.000 0.500 0.000 1
Pb3 0.500 0.000 0.000 1
N1 0.000 0.000 0.000 1
# * energy: -50.474 eV/atom
# * formation energy without anion corrections: 671 meV per atom


# OsPbNF2, single point on PBEsol structure, DFT SCAN
data_OsPbNF2
_chemical_formula_sum 'Os1 Pb1 N1 F2'
_space_group_name_H-M_alt 'P 1'
_space_group_IT_number 1
_space_group_name_Hall 'P 1'
_cell_length_a 4.382
_cell_length_b 4.382
_cell_length_c 4.379
_cell_angle_alpha 90.00
_cell_angle_beta 90.00
_cell_angle_gamma 90.00
loop_
_atom_site_label
_atom_site_fract_x
_atom_site_fract_y
_atom_site_fract_z
_atom_site_occupancy
F1 0.000 0.500 0.000 1
F2 0.500 0.000 0.000 1
Os1 0.500 0.500 0.500 1
N1 0.000 0.000 0.500 1
Pb1 0.000 0.000 0.000 1
# * energy: -31.954 eV/atom
# * formation energy without anion corrections: 853 meV per atom


# La2Sc, single point on PBEsol structure, DFT SCAN
data_La2Sc
_chemical_formula_sum 'La4 Sc2'
_space_group_name_H-M_alt 'P 1'
_space_group_IT_number 1
_space_group_name_Hall 'P 1'
_cell_length_a 3.474
_cell_length_b 3.474
_cell_length_c 17.304
_cell_angle_alpha 90.00
_cell_angle_beta 90.00
_cell_angle_gamma 120.00
loop_
_atom_site_label
_atom_site_fract_x
_atom_site_fract_y
_atom_site_fract_z
_atom_site_occupancy
Sc1 0.333 0.667 0.429 1
Sc2 0.667 0.333 0.571 1
La1 0.667 0.333 0.912 1
La2 0.333 0.667 0.088 1
La3 0.333 0.667 0.730 1
La4 0.667 0.333 0.270 1
# * energy: -33.398 eV/atom
# * E_form: 85 meV per atom